## Mn2OsRu (PBE)

Data for a relaxed Mn2OsRu crystal.

Properties
The space group is P4mm (99). The calculation puts the density of states at the Fermi level at 1.00 states/eV per atom. The electronic total energy comes out at -9.5344 eV/atom. The total magnetization is 0.2 μB/cell.

a b c (Å): 2.982 2.982 5.911
angles (deg): 90.00 90.00 90.00
Atoms (fractional coordinates):
1 Ru 0.500 0.500 0.763
2 Mn 0.500 0.500 0.212
3 Mn 0.000 0.000 0.040
4 Os 0.000 0.000 0.486


## MnOsRu (PBE)

Data for a relaxed MnOsRu crystal.

Properties
The space group is Fmm2 (42). The calculation puts the density of states at the Fermi level at 1.59 states/eV per atom. The electronic total energy comes out at -9.4976 eV/atom. The total magnetization is 2.3 μB/cell.

a b c (Å): 6.916 6.694 2.667
angles (deg): 83.43 74.04 22.53
Atoms (fractional coordinates):
1 Mn 0.000 0.000 0.000
2 Os 0.339 0.339 0.661
3 Ru 0.661 0.661 0.339


## MnOs2Ru3 (PBE)

Data for a relaxed MnOs2Ru3 crystal.

Properties
The space group is P-1 (2). The calculation puts the density of states at the Fermi level at 0.93 states/eV per atom. The electronic total energy comes out at -9.9040 eV/atom. The total magnetization is 0.6 μB/cell.

a b c (Å): 5.424 6.332 5.071
angles (deg): 103.16 74.44 89.98
Atoms (fractional coordinates):
1 Ru 0.424 0.026 0.282
2 Ru 0.094 0.353 0.608
3 Ru 0.576 0.974 0.718
4 Ru 0.231 0.301 0.052
5 Ru 0.769 0.699 0.948
6 Ru 0.906 0.647 0.392
7 Mn 0.064 0.972 0.726
8 Mn 0.936 0.028 0.274
9 Os 0.399 0.639 0.389
10 Os 0.259 0.701 0.942
11 Os 0.601 0.361 0.611
12 Os 0.741 0.299 0.058


## MnOsRu (PBE)

Data for a relaxed MnOsRu crystal.

Properties
The space group is P3m1 (156). The calculation puts the density of states at the Fermi level at 1.14 states/eV per atom. The electronic total energy comes out at -9.7610 eV/atom. The total magnetization is 1.1 μB/cell.

a b c (Å): 2.678 2.678 6.442
angles (deg): 90.00 90.00 120.00
Atoms (fractional coordinates):
1 Mn 0.000 0.000 0.999
2 Os 0.667 0.333 0.323
3 Ru 0.333 0.667 0.678


## Mn2Os4Ru (PBE)

Data for a relaxed Mn2Os4Ru crystal.

Properties
The space group is C2/m (12). The calculation puts the density of states at the Fermi level at 1.06 states/eV per atom. The electronic total energy comes out at -10.1201 eV/atom. The total magnetization is 3.6 μB/cell.

a b c (Å): 2.691 6.502 6.577
angles (deg): 119.37 101.81 90.00
Atoms (fractional coordinates):
1 Mn 0.214 0.292 0.427
2 Mn 0.786 0.708 0.573
3 Os 0.435 0.602 0.870
4 Os 0.565 0.398 0.130
5 Os 0.848 0.172 0.695
6 Os 0.152 0.828 0.305
7 Ru 0.000 0.000 0.000


## Mn2OsRu (PBE)

Data for a relaxed Mn2OsRu crystal.

Properties
The space group is R-3m (166). The calculation puts the density of states at the Fermi level at 0.90 states/eV per atom. The electronic total energy comes out at -9.5754 eV/atom. The total magnetization is 2.1 μB/cell.

a b c (Å): 8.616 8.616 8.616
angles (deg): 17.66 17.66 17.66
Atoms (fractional coordinates):
1 Mn 0.500 0.500 0.500
2 Mn 0.000 0.000 0.000
3 Ru 0.750 0.750 0.750
4 Os 0.250 0.250 0.250


## MnOs2Ru (PBE)

Data for a relaxed MnOs2Ru crystal.

Properties
The space group is Amm2 (38). The calculation puts the density of states at the Fermi level at 0.89 states/eV per atom. The electronic total energy comes out at -10.1127 eV/atom. The total magnetization is 0.0 μB/cell.

a b c (Å): 2.701 6.362 9.299
angles (deg): 150.34 136.56 50.43
Atoms (fractional coordinates):
1 Os 0.777 0.015 0.004
2 Os 0.446 0.735 0.504
3 Ru 0.973 0.551 0.004
4 Mn 0.665 0.256 0.504


## MnOs2Ru (PBE)

Data for a relaxed MnOs2Ru crystal.

Properties
The space group is P4/mmm (123). The calculation puts the density of states at the Fermi level at 1.11 states/eV per atom. The electronic total energy comes out at -10.1171 eV/atom. The total magnetization is 0.9 μB/cell.

a b c (Å): 2.681 2.681 7.509
angles (deg): 90.00 90.00 90.00
Atoms (fractional coordinates):
1 Ru 0.500 0.500 0.250
2 Os 0.000 0.000 0.510
3 Os 0.000 0.000 0.990
4 Mn 0.500 0.500 0.750


## Mn2OsRu (PBE)

Data for a relaxed Mn2OsRu crystal.

Properties
The space group is I-4m2 (119). The calculation puts the density of states at the Fermi level at 1.17 states/eV per atom. The electronic total energy comes out at -9.6187 eV/atom. The total magnetization is 1.9 μB/cell.

a b c (Å): 4.559 4.559 4.559
angles (deg): 132.24 132.24 69.85
Atoms (fractional coordinates):
1 Ru 0.750 0.250 0.500
2 Mn 0.000 0.000 0.000
3 Mn 0.250 0.750 0.500
4 Os 0.500 0.500 0.000


## Mn2Os2Ru5 (PBE)

Data for a relaxed Mn2Os2Ru5 crystal.

Properties
The space group is C2/m (12). The calculation puts the density of states at the Fermi level at 1.10 states/eV per atom. The electronic total energy comes out at -9.5962 eV/atom. The total magnetization is 4.1 μB/cell.

a b c (Å): 3.800 8.080 7.113
angles (deg): 55.46 57.68 45.11
Atoms (fractional coordinates):
1 Mn 0.015 0.324 0.000
2 Mn 0.985 0.676 0.000
3 Ru 0.000 0.000 0.000
4 Ru 0.667 0.444 0.666
5 Ru 0.333 0.556 0.334
6 Ru 0.665 0.778 0.668
7 Ru 0.335 0.222 0.332
8 Os 0.331 0.887 0.339
9 Os 0.669 0.113 0.661


## Mn2OsRu2 (PBE)

Data for a relaxed Mn2OsRu2 crystal.

Properties
The space group is P-1 (2). The calculation puts the density of states at the Fermi level at 1.13 states/eV per atom. The electronic total energy comes out at -9.6135 eV/atom. The total magnetization is 0.0 μB/cell.

a b c (Å): 4.577 4.980 7.037
angles (deg): 65.91 71.15 62.68
Atoms (fractional coordinates):
1 Ru 0.863 0.757 0.849
2 Ru 0.532 0.257 0.349
3 Ru 0.468 0.743 0.651
4 Ru 0.137 0.243 0.151
5 Mn 0.266 0.748 0.051
6 Mn 0.935 0.248 0.552
7 Mn 0.734 0.252 0.949
8 Mn 0.065 0.752 0.448
9 Os 0.320 0.250 0.750
10 Os 0.680 0.750 0.250


## MnOs2Ru (PBE)

Data for a relaxed MnOs2Ru crystal.

Properties
The space group is Pmm2 (25). The calculation puts the density of states at the Fermi level at 1.00 states/eV per atom. The electronic total energy comes out at -10.1333 eV/atom. The total magnetization is 1.8 μB/cell.

a b c (Å): 2.702 3.792 5.347
angles (deg): 90.00 90.00 90.00
Atoms (fractional coordinates):
1 Os 0.000 0.000 0.996
2 Os 0.500 0.500 0.249
3 Ru 0.000 0.000 0.506
4 Mn 0.500 0.500 0.749


## MnOsRu (PBE)

Data for a relaxed MnOsRu crystal.

Properties
The space group is P-1 (2). The calculation puts the density of states at the Fermi level at 1.05 states/eV per atom. The electronic total energy comes out at -9.7642 eV/atom. The total magnetization is 0.0 μB/cell.

a b c (Å): 2.695 5.011 6.192
angles (deg): 84.64 90.08 74.41
Atoms (fractional coordinates):
1 Mn 0.265 0.465 0.848
2 Mn 0.731 0.531 0.157
3 Ru 0.129 0.736 0.465
4 Ru 0.866 0.261 0.539
5 Os 0.450 0.091 0.186
6 Os 0.545 0.906 0.818


## MnOs2Ru (PBE)

Data for a relaxed MnOs2Ru crystal.

Properties
The space group is Cmm2 (35). The calculation puts the density of states at the Fermi level at 1.56 states/eV per atom. The electronic total energy comes out at -9.7407 eV/atom. The total magnetization is 3.3 μB/cell.

a b c (Å): 2.669 2.669 8.973
angles (deg): 90.00 90.00 116.93
Atoms (fractional coordinates):
1 Os 0.500 0.500 0.251
2 Os 0.000 0.000 0.990
3 Ru 0.000 0.000 0.509
4 Mn 0.500 0.500 0.749


## Mn2OsRu (PBE)

Data for a relaxed Mn2OsRu crystal.

Properties
The space group is P4/mmm (123). The calculation puts the density of states at the Fermi level at 0.70 states/eV per atom. The electronic total energy comes out at -9.6552 eV/atom. The total magnetization is 6.1 μB/cell.

a b c (Å): 4.249 4.249 2.989
angles (deg): 90.00 90.00 90.00
Atoms (fractional coordinates):
1 Os 0.500 0.000 0.500
2 Mn 0.500 0.500 0.000
3 Mn 0.000 0.000 0.000
4 Ru 0.000 0.500 0.500


## Mn2OsRu (PBE)

Data for a relaxed Mn2OsRu crystal.

Properties
The space group is Pmmm (47). The calculation puts the density of states at the Fermi level at 1.16 states/eV per atom. The electronic total energy comes out at -9.6260 eV/atom. The total magnetization is 2.2 μB/cell.

a b c (Å): 2.644 3.657 5.287
angles (deg): 90.00 90.00 90.00
Atoms (fractional coordinates):
1 Os 0.500 0.500 0.250
2 Ru 0.500 0.500 0.750
3 Mn 0.000 0.000 0.001
4 Mn 0.000 0.000 0.499


## MnOs2Ru6 (PBE)

Data for a relaxed MnOs2Ru6 crystal.

Properties
The space group is C2/c (15). The calculation puts the density of states at the Fermi level at 1.04 states/eV per atom. The electronic total energy comes out at -9.4237 eV/atom. The total magnetization is 2.2 μB/cell.

a b c (Å): 5.171 7.470 7.470
angles (deg): 64.96 78.86 78.86
Atoms (fractional coordinates):
1 Ru 0.209 0.386 0.979
2 Ru 0.774 0.995 0.736
3 Ru 0.291 0.021 0.614
4 Ru 0.502 0.337 0.659
5 Ru 0.998 0.341 0.663
6 Ru 0.498 0.663 0.341
7 Ru 0.709 0.979 0.386
8 Ru 0.002 0.659 0.337
9 Ru 0.274 0.736 0.995
10 Ru 0.726 0.264 0.005
11 Ru 0.226 0.005 0.264
12 Ru 0.791 0.614 0.021
13 Mn 0.750 0.924 0.076
14 Mn 0.250 0.076 0.924
15 Os 0.094 0.710 0.638
16 Os 0.406 0.362 0.290
17 Os 0.594 0.638 0.710
18 Os 0.906 0.290 0.362


## Mn2OsRu (PBE)

Data for a relaxed Mn2OsRu crystal.

Properties
The space group is R3m (160). The calculation puts the density of states at the Fermi level at 1.20 states/eV per atom. The electronic total energy comes out at -9.5380 eV/atom. The total magnetization is 1.7 μB/cell.

a b c (Å): 8.584 8.584 8.584
angles (deg): 17.75 17.75 17.75
Atoms (fractional coordinates):
1 Ru 0.746 0.746 0.746
2 Mn 0.998 0.998 0.998
3 Mn 0.252 0.252 0.252
4 Os 0.504 0.504 0.504


## MnOsRu6 (PBE)

Data for a relaxed MnOsRu6 crystal.

Properties
The space group is Amm2 (38). The calculation puts the density of states at the Fermi level at 0.62 states/eV per atom. The electronic total energy comes out at -9.5098 eV/atom. The total magnetization is 0.0 μB/cell.

a b c (Å): 2.710 6.348 6.348
angles (deg): 95.25 90.00 90.00
Atoms (fractional coordinates):
1 Ru 0.000 0.917 0.578
2 Ru 0.500 0.159 0.330
3 Ru 0.500 0.670 0.841
4 Ru 0.000 0.422 0.083
5 Ru 0.000 0.334 0.666
6 Ru 0.500 0.080 0.920
7 Os 0.500 0.586 0.414
8 Mn 0.000 0.833 0.167


## MnOs3Ru2 (PBE)

Data for a relaxed MnOs3Ru2 crystal.

Properties
The space group is C2/c (15). The calculation puts the density of states at the Fermi level at 1.07 states/eV per atom. The electronic total energy comes out at -10.1269 eV/atom. The total magnetization is 2.5 μB/cell.

a b c (Å): 5.389 8.501 4.671
angles (deg): 56.84 90.00 108.48
Atoms (fractional coordinates):
1 Mn 0.128 0.000 0.750
2 Mn 0.872 0.000 0.250
3 Os 0.287 0.328 0.089
4 Os 0.629 0.000 0.750
5 Os 0.371 0.000 0.250
6 Os 0.041 0.328 0.589
7 Os 0.959 0.672 0.411
8 Os 0.713 0.672 0.911
9 Ru 0.792 0.331 0.084
10 Ru 0.539 0.331 0.584
11 Ru 0.461 0.669 0.416
12 Ru 0.208 0.669 0.916


## Mn2Os2Ru (PBE)

Data for a relaxed Mn2Os2Ru crystal.

Properties
The space group is P4/mbm (127). The calculation puts the density of states at the Fermi level at 1.16 states/eV per atom. The electronic total energy comes out at -9.8259 eV/atom. The total magnetization is 0.0 μB/cell.

a b c (Å): 6.981 6.981 2.707
angles (deg): 90.00 90.00 90.00
Atoms (fractional coordinates):
1 Os 0.826 0.326 0.500
2 Os 0.326 0.174 0.500
3 Os 0.174 0.674 0.500
4 Os 0.674 0.826 0.500
5 Ru 0.500 0.500 0.000
6 Ru 0.000 0.000 0.000
7 Mn 0.122 0.378 0.000
8 Mn 0.878 0.622 0.000
9 Mn 0.378 0.878 0.000
10 Mn 0.622 0.122 0.000


## MnOs2Ru (PBE)

Data for a relaxed MnOs2Ru crystal.

Properties
The space group is Imm2 (44). The calculation puts the density of states at the Fermi level at 0.85 states/eV per atom. The electronic total energy comes out at -9.9223 eV/atom. The total magnetization is 3.0 μB/cell.

a b c (Å): 5.162 5.162 5.162
angles (deg): 147.66 130.15 60.68
Atoms (fractional coordinates):
1 Mn 0.751 0.251 0.500
2 Ru 0.525 0.525 0.000
3 Os 0.247 0.747 0.500
4 Os 0.977 0.977 0.000


## Mn2Os5Ru4 (PBE)

Data for a relaxed Mn2Os5Ru4 crystal.

Properties
The space group is P-1 (2). The calculation puts the density of states at the Fermi level at 1.02 states/eV per atom. The electronic total energy comes out at -10.0420 eV/atom. The total magnetization is 3.9 μB/cell.

a b c (Å): 3.804 6.026 8.077
angles (deg): 58.81 103.62 90.07
Atoms (fractional coordinates):
1 Ru 0.679 0.547 0.359
2 Ru 0.956 0.366 0.911
3 Ru 0.044 0.634 0.089
4 Ru 0.321 0.453 0.641
5 Os 0.138 0.912 0.275
6 Os 0.500 0.000 0.000
7 Os 0.862 0.088 0.725
8 Os 0.226 0.182 0.453
9 Os 0.774 0.818 0.547
10 Mn 0.593 0.264 0.185
11 Mn 0.407 0.736 0.815


## Mn4OsRu (PBE)

Data for a relaxed Mn4OsRu crystal.

Properties
The space group is F-43m (216). The calculation puts the density of states at the Fermi level at 1.56 states/eV per atom. The electronic total energy comes out at -9.4885 eV/atom. The total magnetization is 2.0 μB/cell.

a b c (Å): 4.655 4.655 4.655
angles (deg): 60.00 60.00 60.00
Atoms (fractional coordinates):
1 Mn 0.124 0.625 0.625
2 Mn 0.625 0.625 0.124
3 Mn 0.625 0.124 0.625
4 Mn 0.625 0.625 0.625
5 Ru 0.000 0.000 0.000
6 Os 0.250 0.250 0.250


## MnOsRu (PBE)

Data for a relaxed MnOsRu crystal.

Properties
The space group is P-6m2 (187). The calculation puts the density of states at the Fermi level at 0.71 states/eV per atom. The electronic total energy comes out at -9.7671 eV/atom. The total magnetization is 0.0 μB/cell.

a b c (Å): 4.144 4.144 2.662
angles (deg): 90.00 90.00 120.00
Atoms (fractional coordinates):
1 Ru 0.333 0.667 0.833
2 Os 0.667 0.333 0.333
3 Mn 0.000 0.000 0.833


## MnOs2Ru (PBE)

Data for a relaxed MnOs2Ru crystal.

Properties
The space group is Cmmm (65). The calculation puts the density of states at the Fermi level at 0.90 states/eV per atom. The electronic total energy comes out at -10.1268 eV/atom. The total magnetization is 1.5 μB/cell.

a b c (Å): 4.645 4.645 2.691
angles (deg): 90.00 90.00 109.59
Atoms (fractional coordinates):
1 Mn 0.000 0.500 0.500
2 Ru 0.500 0.000 0.500
3 Os 0.500 0.500 0.000
4 Os 0.000 0.000 0.000


## MnOs4Ru (PBE)

Data for a relaxed MnOs4Ru crystal.

Properties
The space group is F-43m (216). The calculation puts the density of states at the Fermi level at 1.52 states/eV per atom. The electronic total energy comes out at -9.8582 eV/atom. The total magnetization is 2.1 μB/cell.

a b c (Å): 5.098 5.098 5.098
angles (deg): 60.00 60.00 60.00
Atoms (fractional coordinates):
1 Os 0.375 0.375 0.874
2 Os 0.375 0.874 0.375
3 Os 0.874 0.375 0.375
4 Os 0.375 0.375 0.375
5 Ru 0.750 0.750 0.750
6 Mn 0.000 0.000 0.000